Material: ZrIrN2
Method: DFT, PBE
State: optimized geometry

Output
Energy: -72.429 eV per cell
Raw formation energy: -0.539 eV per atom
E above lowest polymorph: 0.00 eV per formula unit
Volume: 50 Å³/f.u.

Cell: 3.078 5.710 5.697 Å, 90.00 90.00 90.00°
Fractional coordinates of all 8 atoms:
Zr 0.500 0.156 0.512
Zr 0.500 0.844 0.012
Ir 0.000 0.288 0.942
Ir 0.000 0.712 0.442
N 0.000 0.045 0.241
N 0.000 0.955 0.741
N 0.000 0.584 0.113
N 0.000 0.416 0.613

=====

Material: ZrIrN2
Method: DFT, PBE
State: optimized geometry

Output
Energy: -33.075 eV per cell
Raw formation energy: 0.246 eV per atom
E above lowest polymorph: 3.14 eV per formula unit
Volume: 45 Å³/f.u.

Cell: 3.987 3.987 3.987 Å, 60.00 60.00 60.00°
Fractional coordinates of all 4 atoms:
Ir 0.500 0.500 0.500
Zr 0.000 0.000 0.000
N 0.250 0.250 0.250
N 0.750 0.750 0.750

=====

Material: Zr6IrN2
Method: DFT, PBE
State: optimized geometry

Output
Energy: -84.083 eV per cell
Raw formation energy: -0.809 eV per atom
Volume: 169 Å³/f.u.

Cell: 4.444 5.938 7.495 Å, 70.44 72.76 68.03°
Fractional coordinates of all 9 atoms:
Zr 0.695 0.694 0.916
Zr 0.305 0.306 0.084
Zr 0.978 0.852 0.193
Zr 0.337 0.752 0.573
Zr 0.022 0.148 0.807
Zr 0.663 0.248 0.427
Ir 0.000 0.500 0.500
N 0.185 0.719 0.912
N 0.815 0.281 0.088

=====

Material: ZrIrN2
Method: DFT, PBE
State: optimized geometry

Output
Energy: -143.358 eV per cell
Raw formation energy: -0.445 eV per atom
E above lowest polymorph: 0.37 eV per formula unit
Volume: 48 Å³/f.u.

Cell: 5.581 3.178 10.846 Å, 90.00 95.10 90.00°
Fractional coordinates of all 16 atoms:
Zr 0.405 0.000 0.082
Zr 0.405 0.500 0.582
Zr 0.005 0.000 0.843
Zr 0.005 0.500 0.343
Ir 0.879 0.000 0.592
Ir 0.879 0.500 0.092
Ir 0.588 0.000 0.328
Ir 0.588 0.500 0.828
N 0.705 0.000 0.963
N 0.705 0.500 0.463
N 0.053 0.000 0.188
N 0.053 0.500 0.688
N 0.573 0.000 0.709
N 0.573 0.500 0.209
N 0.178 0.000 0.475
N 0.178 0.500 0.975